1.
# Ca3Pb3I14 | the Alexandria database | GGA-PBE | optimized geometry
data_Ca3Pb3I14
_cell_length_a 17.1658
_cell_length_b 4.4827
_cell_length_c 24.3452
_cell_angle_alpha 90.00
_cell_angle_beta 104.23
_cell_angle_gamma 90.00
_symmetry_space_group_name_H-M 'P 1 21/m 1'
_symmetry_Int_Tables_number 11
_symmetry_space_group_name_Hall '-P 2yb'
loop_
_atom_site_label
_atom_site_type_symbol
_atom_site_fract_x
_atom_site_fract_y
_atom_site_fract_z
_atom_site_occupancy
Ca1 Ca 0.0625 0.2500 0.3135 1
Ca2 Ca 0.2930 0.7500 0.0371 1
Ca3 Ca 0.3906 0.2500 0.6348 1
Pb1 Pb 0.1225 0.2500 0.8609 1
Pb2 Pb 0.2378 0.7500 0.4780 1
Pb3 Pb 0.4619 0.2500 0.2070 1
I1 I 0.0453 0.2500 0.6521 1
I2 I 0.0570 0.7500 0.2095 1
I3 I 0.0911 0.7500 0.9453 1
I4 I 0.1013 0.2500 0.4588 1
I5 I 0.1544 0.7500 0.7774 1
I6 I 0.1851 0.2500 0.0716 1
I7 I 0.2084 0.7500 0.3435 1
I8 I 0.2578 0.7500 0.6151 1
I9 I 0.2999 0.2500 0.9357 1
I10 I 0.3256 0.7500 0.1845 1
I11 I 0.3814 0.2500 0.5032 1
I12 I 0.3950 0.2500 0.7658 1
I13 I 0.4395 0.2500 0.0733 1
I14 I 0.4761 0.2500 0.3438 1
# E_form (uncorrected): -0.9403 eV per atom

=====

2.
# MnAsAu3 | the Alexandria database | GGA-PBE | optimized geometry
data_MnAsAu3
_cell_length_a 4.9202
_cell_length_b 4.9202
_cell_length_c 4.9202
_cell_angle_alpha 90.00
_cell_angle_beta 90.00
_cell_angle_gamma 90.00
_symmetry_space_group_name_H-M 'P m -3 m'
_symmetry_Int_Tables_number 221
_symmetry_space_group_name_Hall '-P 4 2 3'
loop_
_atom_site_label
_atom_site_type_symbol
_atom_site_fract_x
_atom_site_fract_y
_atom_site_fract_z
_atom_site_occupancy
Mn1 Mn 0.0000 0.0000 0.0000 1
As1 As 0.5000 0.5000 0.5000 1
Au1 Au 0.0000 0.5000 0.5000 1
# DFT formation energy: 0.604 eV/atom
# ΔE to the lowest computed polymorph: 0.00 kcal/mol of atoms

=====

3.
# MnInSi2 | the Alexandria database | GGA-PBE | optimized geometry
data_MnInSi2
_cell_length_a 6.5409
_cell_length_b 6.5409
_cell_length_c 6.5409
_cell_angle_alpha 90.00
_cell_angle_beta 90.00
_cell_angle_gamma 90.00
_symmetry_space_group_name_H-M 'F -4 3 m'
_symmetry_Int_Tables_number 216
_symmetry_space_group_name_Hall 'F -4 2 3'
loop_
_atom_site_label
_atom_site_type_symbol
_atom_site_fract_x
_atom_site_fract_y
_atom_site_fract_z
_atom_site_occupancy
Mn1 Mn 0.0000 0.0000 0.0000 1
In1 In 0.2500 0.2500 0.7500 1
Si1 Si 0.0000 0.0000 0.5000 1
Si2 Si 0.2500 0.2500 0.2500 1
# E_form (uncorrected): 0.5721 eV per atom

=====

4.
# ScMnW2 | the Alexandria database | GGA-PBE | optimized geometry
data_ScMnW2
_cell_length_a 3.1103
_cell_length_b 3.1103
_cell_length_c 6.6017
_cell_angle_alpha 90.00
_cell_angle_beta 90.00
_cell_angle_gamma 90.00
_symmetry_space_group_name_H-M 'P 4 m m'
_symmetry_Int_Tables_number 99
_symmetry_space_group_name_Hall 'P 4 -2'
loop_
_atom_site_label
_atom_site_type_symbol
_atom_site_fract_x
_atom_site_fract_y
_atom_site_fract_z
_atom_site_occupancy
Sc1 Sc 0.0000 0.0000 0.0000 1
Mn1 Mn 0.5000 0.5000 0.7338 1
W1 W 0.0000 0.0000 0.5270 1
W2 W 0.5000 0.5000 0.2832 1
# DFT formation energy: 0.150 eV/atom
# ΔE to the lowest computed polymorph: 1.39 kcal/mol of atoms